Compound: SrTeC3
Source: Alexandria via LeMat-Bulk
Functional: GGA-PBE
Structure: optimized geometry

Computed properties:
The calculation puts the raw total energy at -3.084 eV per atom. The uncorrected formation energy is 3415 meV/atom. As for the polymorph energy (0 for the lowest one): 648 kJ/mol of formula units.

a b c (Å): 4.733 4.733 4.733
angles (deg): 90.00 90.00 90.00
Sites, in units of the cell vectors:
Sr 0.000 0.000 0.000
Te 0.500 0.500 0.500
C 0.000 0.000 0.500
C 0.000 0.500 0.000
C 0.500 0.000 0.000